[1]
Below is a PBEsol-optimized structure of LaCdIn2H, with properties calculated at the meta-GGA SCAN level.

The crystal system is tetragonal. The calculation puts the calculated total energy at -28.766 eV per atom.

```
data_LaCdIn2H
_chemical_formula_sum 'La1 Cd1 In2 H1'
_symmetry_space_group_name_H-M 'P 4/m m m'
_symmetry_Int_Tables_number 123
_symmetry_space_group_name_Hall '-P 4 2'
_cell_length_a 5.7594
_cell_length_b 5.7594
_cell_length_c 3.6052
_cell_angle_alpha 90.00
_cell_angle_beta 90.00
_cell_angle_gamma 90.00
loop_
_atom_site_label
_atom_site_type_symbol
_atom_site_fract_x
_atom_site_fract_y
_atom_site_fract_z
La1 La 0.0000 0.0000 0.0000
Cd1 Cd 0.5000 0.5000 0.5000
In1 In 0.0000 0.5000 0.5000
H1 H 0.5000 0.5000 0.0000
```

***

[2]
Below is a PBEsol-optimized structure of RbCdInH2, with properties calculated at the meta-GGA SCAN level.

The crystal system is orthorhombic. The calculation puts the calculated total energy at -18.429 eV per atom.

```
data_RbCdInH2
_chemical_formula_sum 'Rb4 Cd4 In4 H8'
_symmetry_space_group_name_H-M 'F m m 2'
_symmetry_Int_Tables_number 42
_symmetry_space_group_name_Hall 'F 2 -2'
_cell_length_a 5.2905
_cell_length_b 5.4355
_cell_length_c 14.1016
_cell_angle_alpha 90.00
_cell_angle_beta 90.00
_cell_angle_gamma 90.00
loop_
_atom_site_label
_atom_site_type_symbol
_atom_site_fract_x
_atom_site_fract_y
_atom_site_fract_z
Rb1 Rb 0.0000 0.0000 0.0000
Cd1 Cd 0.0000 0.0000 0.2936
In1 In 0.0000 0.0000 0.7151
H1 H 0.0000 0.0000 0.4213
H2 H 0.0000 0.0000 0.5858
```

***

[3]
Below is a PBEsol-optimized structure of Cd2HIrRu, with properties calculated at the meta-GGA SCAN level.

The crystal system is tetragonal. The calculation puts the calculated total energy at -33.308 eV per atom.

```
data_Cd2HIrRu
_chemical_formula_sum 'Cd2 H1 Ir1 Ru1'
_symmetry_space_group_name_H-M 'P 4/m m m'
_symmetry_Int_Tables_number 123
_symmetry_space_group_name_Hall '-P 4 2'
_cell_length_a 5.1143
_cell_length_b 5.1143
_cell_length_c 3.1309
_cell_angle_alpha 90.00
_cell_angle_beta 90.00
_cell_angle_gamma 90.00
loop_
_atom_site_label
_atom_site_type_symbol
_atom_site_fract_x
_atom_site_fract_y
_atom_site_fract_z
Cd1 Cd 0.0000 0.5000 0.0000
H1 H 0.0000 0.0000 0.5000
Ir1 Ir 0.0000 0.0000 0.0000
Ru1 Ru 0.5000 0.5000 0.5000
```

***

[4]
Below is a PBEsol-optimized structure of CdSbH2Ir, with properties calculated at the meta-GGA SCAN level.

The crystal system is tetragonal. The calculation puts the calculated total energy at -28.685 eV per atom.

```
data_CdSbH2Ir
_chemical_formula_sum 'Cd1 Sb1 H2 Ir1'
_symmetry_space_group_name_H-M 'P 4/m m m'
_symmetry_Int_Tables_number 123
_symmetry_space_group_name_Hall '-P 4 2'
_cell_length_a 3.8128
_cell_length_b 3.8128
_cell_length_c 5.2641
_cell_angle_alpha 90.00
_cell_angle_beta 90.00
_cell_angle_gamma 90.00
loop_
_atom_site_label
_atom_site_type_symbol
_atom_site_fract_x
_atom_site_fract_y
_atom_site_fract_z
Cd1 Cd 0.0000 0.0000 0.0000
Sb1 Sb 0.5000 0.5000 0.5000
H1 H 0.0000 0.5000 0.5000
Ir1 Ir 0.5000 0.5000 0.0000
```

***

[5]
Below is a PBEsol-optimized structure of KCd2H, with properties calculated at the meta-GGA SCAN level.

The crystal system is cubic. The calculation puts the calculated total energy at -17.656 eV per atom.

```
data_KCd2H
_chemical_formula_sum 'K4 Cd8 H4'
_symmetry_space_group_name_H-M 'F m -3 m'
_symmetry_Int_Tables_number 225
_symmetry_space_group_name_Hall '-F 4 2 3'
_cell_length_a 7.4459
_cell_length_b 7.4459
_cell_length_c 7.4459
_cell_angle_alpha 90.00
_cell_angle_beta 90.00
_cell_angle_gamma 90.00
loop_
_atom_site_label
_atom_site_type_symbol
_atom_site_fract_x
_atom_site_fract_y
_atom_site_fract_z
K1 K 0.0000 0.0000 0.0000
Cd1 Cd 0.2500 0.2500 0.2500
H1 H 0.0000 0.0000 0.5000
```

***

[6]
Below is a PBEsol-optimized structure of K3CdH, with properties calculated at the meta-GGA SCAN level.

For the excess energy over the best structure of this formula in the dataset, the calculation gives 0 meV per atom. The crystal system is cubic. The calculation puts the calculated total energy at -11.849 eV per atom.

```
data_K3CdH
_chemical_formula_sum 'K3 Cd1 H1'
_symmetry_space_group_name_H-M 'P m -3 m'
_symmetry_Int_Tables_number 221
_symmetry_space_group_name_Hall '-P 4 2 3'
_cell_length_a 5.5112
_cell_length_b 5.5112
_cell_length_c 5.5112
_cell_angle_alpha 90.00
_cell_angle_beta 90.00
_cell_angle_gamma 90.00
loop_
_atom_site_label
_atom_site_type_symbol
_atom_site_fract_x
_atom_site_fract_y
_atom_site_fract_z
K1 K 0.0000 0.0000 0.5000
Cd1 Cd 0.5000 0.5000 0.5000
H1 H 0.0000 0.0000 0.0000
```

***

[7]
Below is a PBEsol-optimized structure of K2CdH4Se2O10, with properties calculated at the meta-GGA SCAN level.

The crystal system is triclinic. The calculation puts the calculated total energy at -9.847 eV per atom.

```
data_K2CdH4Se2O10
_chemical_formula_sum 'K4 Cd2 H8 Se4 O20'
_symmetry_space_group_name_H-M 'P -1'
_symmetry_Int_Tables_number 2
_cell_length_a 6.5128
_cell_length_b 7.5989
_cell_length_c 11.5495
_cell_angle_alpha 71.89
_cell_angle_beta 74.98
_cell_angle_gamma 68.38
loop_
_symmetry_equiv_pos_as_xyz
'x,y,z'
'-x,-y,-z'
loop_
_atom_site_label
_atom_site_type_symbol
_atom_site_fract_x
_atom_site_fract_y
_atom_site_fract_z
K1 K 0.1854 0.2493 0.0974
K2 K 0.2746 0.7437 0.4210
Cd1 Cd 0.2526 0.0239 0.7535
H1 H 0.1735 0.4217 0.7020
H2 H 0.3307 0.6148 0.8344
H3 H 0.3568 0.6927 0.6911
H4 H 0.3606 0.3281 0.7943
Se1 Se 0.2529 0.2392 0.4178
Se2 Se 0.2689 0.7684 0.0763
O1 O 0.0143 0.4043 0.3828
O2 O 0.1297 0.8745 0.1943
O3 O 0.1344 0.6417 0.0514
O4 O 0.1954 0.0871 0.5528
O5 O 0.2491 0.7185 0.7694
O6 O 0.3081 0.3093 0.7255
O7 O 0.3111 0.9467 0.9533
O8 O 0.3628 0.1064 0.3112
O9 O 0.4337 0.3444 0.4224
O10 O 0.4778 0.3713 0.8886
```

***

[8]
Below is a PBEsol-optimized structure of La3CdH, with properties calculated at the meta-GGA SCAN level.

The crystal system is cubic. The calculation puts the calculated total energy at -32.942 eV per atom.

```
data_La3CdH
_chemical_formula_sum 'La3 Cd1 H1'
_symmetry_space_group_name_H-M 'P m -3 m'
_symmetry_Int_Tables_number 221
_symmetry_space_group_name_Hall '-P 4 2 3'
_cell_length_a 5.0091
_cell_length_b 5.0091
_cell_length_c 5.0091
_cell_angle_alpha 90.00
_cell_angle_beta 90.00
_cell_angle_gamma 90.00
loop_
_atom_site_label
_atom_site_type_symbol
_atom_site_fract_x
_atom_site_fract_y
_atom_site_fract_z
La1 La 0.0000 0.0000 0.5000
Cd1 Cd 0.5000 0.5000 0.5000
H1 H 0.0000 0.0000 0.0000
```